Record 1
This record from the Alexandria database describes an optimized crystal structure of Nd3ZnSe2. The functional is PBE-GGA.

Cell lengths 6.0222, 8.5493, 12.6834 Å; angles 90.00, 90.00, 89.91 degrees
Closest atoms and distances in Å follow each position.
Fractional coordinates of all 24 atoms:
Nd: 0.2514 0.6277 0.5834  3 Se 2.98-3.03, 3 Zn 3.01-3.04
Nd: 0.2514 0.1277 0.9166  3 Se 2.98-3.03, 3 Zn 3.01-3.04
Nd: 0.2503 0.6230 0.9137  5 Se 2.97-3.01, 1 Zn 3.06
Nd: 0.2503 0.1230 0.5863  5 Se 2.97-3.01, 1 Zn 3.06
Nd: 0.2485 0.6268 0.2504  2 Zn 2.98-3.00, 4 Se 3.00-3.01
Nd: 0.2485 0.1268 0.2496  2 Zn 2.98-3.00, 4 Se 3.00-3.01
Nd: 0.7515 0.8732 0.7504  2 Zn 2.98-3.00, 4 Se 3.00-3.01
Nd: 0.7515 0.3732 0.7496  2 Zn 2.98-3.00, 4 Se 3.00-3.01
Nd: 0.7497 0.8770 0.4137  5 Se 2.97-3.01, 1 Zn 3.06
Nd: 0.7497 0.3770 0.0863  5 Se 2.97-3.01, 1 Zn 3.06
Nd: 0.7486 0.8723 0.0834  3 Se 2.98-3.03, 3 Zn 3.01-3.04
Nd: 0.7486 0.3723 0.4166  3 Se 2.98-3.03, 3 Zn 3.01-3.04
Zn: 0.2484 0.8748 0.0853  6 Nd 2.98-3.06
Zn: 0.2484 0.3748 0.4147  6 Nd 2.98-3.06
Zn: 0.7516 0.6252 0.5853  6 Nd 2.98-3.06
Zn: 0.7516 0.1252 0.9147  6 Nd 2.98-3.06
Se: 0.2515 0.8745 0.7498  6 Nd 2.97-3.03
Se: 0.2515 0.3745 0.7502  6 Nd 2.97-3.03
Se: 0.2497 0.8780 0.4163  6 Nd 3.00-3.01
Se: 0.2497 0.3780 0.0837  6 Nd 3.00-3.01
Se: 0.7503 0.6220 0.9163  6 Nd 3.00-3.01
Se: 0.7503 0.1220 0.5837  6 Nd 3.00-3.01
Se: 0.7485 0.6255 0.2498  6 Nd 2.97-3.03
Se: 0.7485 0.1255 0.2502  6 Nd 2.97-3.03

Values from the calculation:
ΔE_f (raw)   -1.317 eV/atom
Size of the total moment   0.00 μB per formula unit
Space group   No. 14
DFT total energy   -5.075 eV per atom

=====

Record 2
This record from the Alexandria database describes an optimized crystal structure of SbAsI3. The functional is PBE-GGA.

Cell lengths 5.7432, 5.7432, 5.7432 Å; angles 90.00, 90.00, 90.00 degrees
Closest atoms and distances in Å follow each position.
Fractional coordinates of all 5 atoms:
I: 0.0000 0.5000 0.0000  2 As 2.87
I: 0.0000 0.0000 0.5000  2 As 2.87
I: 0.5000 0.0000 0.0000  2 As 2.87
Sb: 0.5000 0.5000 0.5000  12 I 4.06
As: 0.0000 0.0000 0.0000  6 I 2.87

Values from the calculation:
Energy above the most stable polymorph in this dataset   0.0 meV/atom
ΔE_f (raw)   0.403 eV/atom
Size of the total moment   2.05 μB per formula unit
Space group   No. 221
DFT total energy   -2.281 eV per atom

=====

Record 3
This record from the Alexandria database describes an optimized crystal structure of NbCrP2. The functional is PBE-GGA.

Cell lengths 5.5743, 5.5743, 6.5747 Å; angles 64.92, 64.92, 90.00 degrees
Closest atoms and distances in Å follow each position.
Fractional coordinates of all 8 atoms:
Cr: 0.5000 0.5000 0.0000  4 P 2.31
Cr: 0.2500 0.7500 0.5000  4 P 2.31
Nb: 0.0000 0.0000 0.0000  4 P 2.43
Nb: 0.7500 0.2500 0.5000  4 P 2.43
P: 0.6069 0.1250 0.2500  2 Cr 2.31, 2 Nb 2.43
P: 0.1431 0.6250 0.2500  2 Cr 2.31, 2 Nb 2.43
P: 0.3750 0.3931 0.7500  2 Cr 2.31, 2 Nb 2.43
P: 0.8750 0.8569 0.7500  2 Cr 2.31, 2 Nb 2.43

Values from the calculation:
Energy above the most stable polymorph in this dataset   394.8 meV/atom
Calculated formation energy   -0.01 eV per atom
Size of the total moment   3.17 μB per formula unit
Space group   No. 122
DFT total energy   -7.640 eV per atom

=====

Question: Number 2 is which compound?
Answer: SbAsI3

=====

Copy entry 3 word for word.
This record from the Alexandria database describes an optimized crystal structure of NbCrP2. The functional is PBE-GGA.

Cell lengths 5.5743, 5.5743, 6.5747 Å; angles 64.92, 64.92, 90.00 degrees
Closest atoms and distances in Å follow each position.
Fractional coordinates of all 8 atoms:
Cr: 0.5000 0.5000 0.0000  4 P 2.31
Cr: 0.2500 0.7500 0.5000  4 P 2.31
Nb: 0.0000 0.0000 0.0000  4 P 2.43
Nb: 0.7500 0.2500 0.5000  4 P 2.43
P: 0.6069 0.1250 0.2500  2 Cr 2.31, 2 Nb 2.43
P: 0.1431 0.6250 0.2500  2 Cr 2.31, 2 Nb 2.43
P: 0.3750 0.3931 0.7500  2 Cr 2.31, 2 Nb 2.43
P: 0.8750 0.8569 0.7500  2 Cr 2.31, 2 Nb 2.43

Values from the calculation:
Energy above the most stable polymorph in this dataset   394.8 meV/atom
Calculated formation energy   -0.01 eV per atom
Size of the total moment   3.17 μB per formula unit
Space group   No. 122
DFT total energy   -7.640 eV per atom

=====

Question: The highest DFT total energy belongs to which entry?
Answer: SbAsI3